Entry 1:
DFT (PBE-GGA) results for an optimized crystal structure of CuTcPb2.

Calculated values
ΔE_f = 543 meV/atom
E above lowest polymorph = 13.6 kJ per mole of atoms
SG = P4/mmm
Electronic total energy = -0.181 hartree per atom

Unit cell a=3.531 b=3.531 c=6.320 alpha=90.00 beta=90.00 gamma=89.96
Fractional positions:
Cu (0.500, 0.500, 0.750)
Tc (0.500, 0.500, 0.250)
Pb (0.000, 0.000, 0.499)
Pb (0.000, 0.000, 0.001)

=====

Entry 2:
DFT (PBE-GGA) results for an optimized crystal structure of CuTcPb2.

Calculated values
ΔE_f = 859 meV/atom
E above lowest polymorph = 44.1 kJ per mole of atoms
SG = I-42d
Electronic total energy = -0.169 hartree per atom

Unit cell a=7.573 b=7.573 c=6.184 alpha=52.24 beta=52.24 gamma=90.00
Last column: magnetic moment on the atom in μB.
Fractional positions:
Pb (0.375, 0.394, 0.750)  -0.02
Pb (0.875, 0.856, 0.750)  -0.01
Pb (0.144, 0.625, 0.250)  -0.01
Pb (0.606, 0.125, 0.250)  -0.01
Tc (0.000, 0.000, 0.000)  1.89
Tc (0.750, 0.250, 0.500)  1.89
Cu (0.500, 0.500, 0.000)  0.01
Cu (0.250, 0.750, 0.500)  0.01